First-principles (PBE) data for an optimized crystal structure of Pr3B2Rh4, as listed in Alexandria.

Computed properties:
DOS at the Fermi energy = 0.61 states/eV/atom
energy of formation = -0.54 eV/atom

Unit cell a=10.6800 b=3.9852 c=8.2881 alpha=90.00 beta=107.75 gamma=90.00
Last column: nearest neighbours and their distance in Å.
Space group C2/m (No. 12)
Unique sites:
Pr  0.0000  0.0000  0.0000 [2 per cell]  4 Rh 2.93
Pr  0.1091  0.5000  0.6951 [4 per cell]  6 Rh 2.93-3.20, 4 B 3.00-3.27
B  0.1787  0.5000  0.3376 [4 per cell]  4 Rh 2.10-2.22
Rh  0.1566  0.0000  0.4221 [4 per cell]  3 B 2.15-2.22
Rh  0.2105  0.5000  0.0999 [4 per cell]  1 B 2.10

=====

First-principles (PBE) data for an optimized crystal structure of Tb3PSe2, as listed in Alexandria.

Computed properties:
DOS at the Fermi energy = 0.35 states/eV/atom
uncorrected formation energy = -10.79 eV/f.u.

Unit cell a=4.0436 b=5.7342 c=12.3904 alpha=90.00 beta=90.00 gamma=90.00
Last column: nearest neighbours and their distance in Å.
Space group Immm (No. 71)
Unique sites:
Tb  0.0000  0.0000  0.0000 [2 per cell]  2 P 2.87, 4 Se 2.92
Tb  0.0000  0.0000  0.3477 [4 per cell]  2 P 2.77, 4 Se 2.88-2.99
P  0.0000  0.5000  0.0000 [2 per cell]  6 Tb 2.77-2.87
Se  0.0000  0.5000  0.3296 [4 per cell]  6 Tb 2.88-2.99

=====

First-principles (PBE) data for an optimized crystal structure of Ti2HgHPd, as listed in Alexandria.

Computed properties:
DOS at the Fermi energy = 1.24 states/eV/atom
energy above the most stable polymorph in this dataset = 5.24 eV/f.u.

Unit cell a=5.1977 b=5.1977 c=3.3167 alpha=90.00 beta=90.00 gamma=90.00
Last column: nearest neighbours and their distance in Å.
Space group P4/mmm (No. 123)
Unique sites:
Ti  0.0000  0.5000  0.0000 [2 per cell]  2 Hg 2.60
Hg  0.0000  0.0000  0.0000 [1 per cell]  2 H 1.66
H  0.0000  0.0000  0.5000 [1 per cell]  2 Hg 1.66
Pd  0.5000  0.5000  0.5000 [1 per cell]  8 Ti 3.08, 2 Pd 3.32

=====

First-principles (PBE) data for an optimized crystal structure of K2GdAuCl6, as listed in Alexandria.

Computed properties:
uncorrected formation energy = -16.32 eV/f.u.

Unit cell a=10.7723 b=10.7723 c=10.7723 alpha=90.00 beta=90.00 gamma=90.00
Last column: nearest neighbours and their distance in Å.
Space group Fm-3m (No. 225)
Unique sites:
K  0.2500  0.2500  0.2500 [8 per cell]  12 Cl 3.81
Gd  0.0000  0.0000  0.0000 [4 per cell]  6 Cl 2.66
Au  0.0000  0.0000  0.5000 [4 per cell]  6 Cl 2.73
Cl  0.0000  0.0000  0.2468 [24 per cell]  1 Gd 2.66, 1 Au 2.73

=====

| no. | total DFT energy (no corrections) (eV per atom) |
| --- | --- |
| 1 | -6.88 |
| 2 | -6.18 |
| 3 | -4.15 |
| 4 | -4.70 |